[1]
First-principles (PBE) data for a relaxed structure of Ba2TlHg3Au4, as listed in Alexandria via LeMat-Bulk.

Output
As for the total energy: -24.37 eV per cell. The space group is P-4m2. As for the density of states at the Fermi level: 0.388 states/eV per atom. The calculation puts the volume at 28.06 Å³ per atom.

Cell: 4.827 4.827 12.040 Å, 90.00 90.00 90.00°
Atoms (fractional coordinates):
1 Hg 0.000 0.500 0.127
2 Hg 0.000 0.000 0.500
3 Hg 0.500 0.000 0.873
4 Au 0.500 0.000 0.641
5 Au 0.000 0.000 0.000
6 Au 0.500 0.500 0.000
7 Au 0.000 0.500 0.359
8 Ba 0.500 0.000 0.236
9 Ba 0.000 0.500 0.764
10 Tl 0.500 0.500 0.500


[2]
First-principles (PBE) data for a relaxed structure of RbLiSeBr2, as listed in Alexandria via LeMat-Bulk.

Output
As for the total energy: -10.96 eV per cell. The space group is P4/mmm. As for the density of states at the Fermi level: 1.283 states/eV per atom. The calculation puts the volume at 52.06 Å³ per atom. As for the formation energy (no corrections): -250 meV/atom.

Cell: 6.459 6.459 6.241 Å, 90.00 90.00 90.00°
Each line ends with the local moment (μB).
Atoms (fractional coordinates):
1 Se 0.000 0.000 0.500  0.92
2 Br 0.500 0.000 0.000  0.16
3 Br 0.000 0.500 0.000  0.16
4 Li 0.500 0.500 0.500  0.00
5 Rb 0.000 0.000 0.000  0.02


[3]
First-principles (PBE) data for a relaxed structure of CaLa3Sm6, as listed in Alexandria via LeMat-Bulk.

Output
As for the total energy: -42.97 eV per cell. The space group is C2/m. As for the density of states at the Fermi level: 1.853 states/eV per atom. The calculation puts the volume at 35.90 Å³ per atom.

Cell: 6.864 9.460 9.854 Å, 138.67 110.38 90.00°
Atoms (fractional coordinates):
1 Sm 0.556 0.419 0.614
2 Sm 0.132 0.841 0.264
3 Sm 0.943 0.581 0.386
4 Sm 0.868 0.159 0.736
5 Sm 0.444 0.581 0.386
6 Sm 0.057 0.419 0.614
7 La 0.566 0.967 0.131
8 La 0.000 0.000 0.000
9 La 0.434 0.033 0.869
10 Ca 0.500 0.500 0.000


[4]
First-principles (PBE) data for a relaxed structure of ZnBTeI2, as listed in Alexandria via LeMat-Bulk.

Output
As for the total energy: -10.55 eV per cell. The space group is P4/mmm. As for the density of states at the Fermi level: 0.333 states/eV per atom. The calculation puts the volume at 25.98 Å³ per atom. As for the formation energy (no corrections): 729 meV/atom.

Cell: 5.098 5.098 4.998 Å, 90.00 90.00 90.00°
Atoms (fractional coordinates):
1 I 0.500 0.000 0.000
2 I 0.000 0.500 0.000
3 Te 0.000 0.000 0.500
4 B 0.000 0.000 0.000
5 Zn 0.500 0.500 0.500


[5]
First-principles (PBE) data for a relaxed structure of Sm2TcN5, as listed in Alexandria via LeMat-Bulk.

Output
As for the total energy: -124.73 eV per cell. The space group is Cmcm. As for the density of states at the Fermi level: 0.386 states/eV per atom. The calculation puts the volume at 16.78 Å³ per atom. As for the formation energy (no corrections): -117 meV/atom.

Cell: 3.932 6.482 11.055 Å, 90.00 90.00 107.66°
Atoms (fractional coordinates):
1 N 0.732 0.463 0.899
2 N 0.047 0.093 0.125
3 N 0.268 0.537 0.101
4 N 0.047 0.093 0.375
5 N 0.701 0.403 0.250
6 N 0.268 0.537 0.399
7 N 0.953 0.907 0.625
8 N 0.732 0.463 0.601
9 N 0.299 0.597 0.750
10 N 0.953 0.907 0.875
11 Tc 0.134 0.269 0.250
12 Tc 0.866 0.731 0.750
13 Sm 0.852 0.703 0.429
14 Sm 0.148 0.297 0.571
15 Sm 0.148 0.297 0.929
16 Sm 0.852 0.703 0.071


[6]
First-principles (PBE) data for a relaxed structure of MgSc2Pa, as listed in Alexandria via LeMat-Bulk.

Output
As for the total energy: -22.59 eV per cell. The space group is Fm-3m. As for the density of states at the Fermi level: 2.228 states/eV per atom. The calculation puts the volume at 24.03 Å³ per atom.

Cell: 5.141 5.141 5.141 Å, 60.00 60.00 60.00°
Each line ends with the local moment (μB).
Atoms (fractional coordinates):
1 Sc 0.250 0.250 0.250  0.17
2 Sc 0.750 0.750 0.750  0.17
3 Pa 0.000 0.000 0.000  0.66
4 Mg 0.500 0.500 0.500  0.00


[7]
First-principles (PBE) data for a relaxed structure of V3Cu, as listed in Alexandria via LeMat-Bulk.

Output
As for the total energy: -31.38 eV per cell. The space group is Cmmm. As for the density of states at the Fermi level: 0.982 states/eV per atom. The calculation puts the volume at 13.06 Å³ per atom.

Cell: 2.508 2.508 8.527 Å, 90.00 90.00 103.16°
Atoms (fractional coordinates):
1 V 0.500 0.500 0.249
2 V 0.500 0.500 0.751
3 V 0.000 0.000 0.500
4 Cu 0.000 0.000 0.000


[8]
First-principles (PBE) data for a relaxed structure of Ta2AsSe, as listed in Alexandria via LeMat-Bulk.

Output
As for the total energy: -32.52 eV per cell. The space group is P4mm. As for the density of states at the Fermi level: 0.389 states/eV per atom. The calculation puts the volume at 21.36 Å³ per atom. As for the formation energy (no corrections): -170 meV/atom.

Cell: 3.042 3.042 9.231 Å, 90.00 90.00 90.00°
Atoms (fractional coordinates):
1 Ta 0.000 0.000 0.995
2 Ta 0.500 0.500 0.237
3 As 0.000 0.000 0.440
4 Se 0.500 0.500 0.829